Entry 1:
This record from the Alexandria database describes Li3Ni3Sn2 after structural relaxation. The functional is GGA-PBE.

Unit cell a=4.2965 b=4.2965 c=7.4526 alpha=73.25 beta=73.25 gamma=60.00
Closest atoms and distances in Å follow each position.
Fractional positions:
1 Ni 0.3756 0.3756 0.8731  4 Sn 2.57-2.62, 4 Li 2.63-2.65
2 Ni 0.8740 0.8740 0.3780  4 Li 2.60-2.64, 4 Sn 2.64-2.71
3 Ni 0.1261 0.1261 0.6216  4 Li 2.61-2.63, 4 Sn 2.61
4 Li 0.7509 0.7509 0.7473  7 Ni 2.60-2.63, 1 Li 2.68
5 Li 0.2497 0.2497 0.2508  5 Ni 2.61-2.65, 3 Li 2.63
6 Li 0.6239 0.6239 0.1283  4 Li 2.63-2.68, 4 Sn 2.66-2.67
7 Sn 0.4973 0.4973 0.5080  7 Ni 2.57-2.64, 1 Li 2.67
8 Sn 0.0024 0.0024 0.9929  5 Ni 2.61-2.71, 3 Li 2.66

Properties
- M_tot: 0.00 μB/cell
- D(E_F): 3.8 states/eV/cell
- Formation enthalpy at 0 K: -0.31 eV per atom

Entry 2:
This record from the Alexandria database describes Li2NiSn8 after structural relaxation. The functional is GGA-PBE.

Unit cell a=4.2893 b=6.2149 c=10.7256 alpha=107.74 beta=101.53 gamma=90.00
Closest atoms and distances in Å follow each position.
Fractional positions:
1 Sn 0.3951 0.5938 0.7903  1 Ni 2.79, 1 Sn 3.09
2 Sn 0.0145 0.7581 0.0290  2 Ni 2.69
3 Sn 0.3747 0.0656 0.7493  1 Ni 2.79, 2 Li 2.99, 3 Sn 3.09-3.10
4 Sn 0.6253 0.9344 0.2507  1 Ni 2.79, 2 Li 2.99, 3 Sn 3.09-3.10
5 Sn 0.2070 0.3243 0.4140  4 Li 3.06-3.15, 6 Sn 3.19-3.29
6 Sn 0.7930 0.6757 0.5860  4 Li 3.06-3.15, 6 Sn 3.19-3.29
7 Sn 0.9855 0.2419 0.9710  2 Ni 2.69
8 Sn 0.6049 0.4062 0.2097  1 Ni 2.79, 1 Sn 3.09
9 Li 0.2081 0.8179 0.4162  6 Sn 2.99-3.15, 2 Li 3.22
10 Li 0.7919 0.1821 0.5838  6 Sn 2.99-3.15, 2 Li 3.22
11 Ni 0.5000 0.0000 0.0000  8 Sn 2.69-2.79

Properties
- M_tot: 0.00 μB/cell
- D(E_F): 4.9 states/eV/cell
- Formation enthalpy at 0 K: -0.12 eV per atom

Entry 3:
This record from the Alexandria database describes LiNiSn5 after structural relaxation. The functional is GGA-PBE.

Unit cell a=6.4272 b=6.4272 c=10.1369 alpha=69.95 beta=69.95 gamma=60.35
Closest atoms and distances in Å follow each position.
Fractional positions:
1 Sn 0.3514 0.1272 0.3775  1 Ni 2.55
2 Sn 0.7713 0.4859 0.4471  1 Ni 2.66, 1 Li 2.83
3 Sn 0.0890 0.9110 0.7500  2 Ni 2.60
4 Sn 0.1272 0.3514 0.8775  1 Ni 2.55
5 Sn 0.4859 0.7713 0.9471  1 Ni 2.66, 1 Li 2.83
6 Sn 0.8728 0.6486 0.1225  1 Ni 2.55
7 Sn 0.6486 0.8728 0.6225  1 Ni 2.55
8 Sn 0.5141 0.2287 0.0529  1 Ni 2.66, 1 Li 2.83
9 Sn 0.2287 0.5141 0.5529  1 Ni 2.66, 1 Li 2.83
10 Sn 0.9110 0.0890 0.2500  2 Ni 2.60
11 Ni 0.0000 0.0000 0.5000  6 Sn 2.55-2.66
12 Ni 0.0000 0.0000 0.0000  6 Sn 2.55-2.66
13 Li 0.3738 0.6262 0.2500  5 Sn 2.83-3.08
14 Li 0.6262 0.3738 0.7500  5 Sn 2.83-3.08

Properties
- M_tot: 0.00 μB/cell
- D(E_F): 5.8 states/eV/cell
- Formation enthalpy at 0 K: -0.07 eV per atom

Entry 4:
This record from the Alexandria database describes LiNiSn3 after structural relaxation. The functional is GGA-PBE.

Unit cell a=5.0236 b=5.0236 c=5.0236 alpha=90.00 beta=90.00 gamma=90.00
Closest atoms and distances in Å follow each position.
Fractional positions:
1 Li 0.5000 0.5000 0.5000  12 Sn 3.55
2 Sn 0.5000 0.0000 0.0000  2 Ni 2.51
3 Sn 0.0000 0.5000 0.0000  2 Ni 2.51
4 Sn 0.0000 0.0000 0.5000  2 Ni 2.51
5 Ni 0.0000 0.0000 0.0000  6 Sn 2.51

Properties
- M_tot: 0.00 μB/cell
- D(E_F): 3.0 states/eV/cell
- Formation enthalpy at 0 K: 0.03 eV per atom
- Energy relative to the lowest polymorph listed for this composition: 207 meV/atom

Entry 5:
This record from the Alexandria database describes LiNi2Sn2 after structural relaxation. The functional is GGA-PBE.

Unit cell a=7.3169 b=7.3169 c=3.1024 alpha=90.00 beta=90.00 gamma=90.00
Closest atoms and distances in Å follow each position.
Fractional positions:
1 Ni 0.3733 0.8733 0.0000  6 Sn 2.62-2.68, 1 Ni 2.62, 2 Li 2.88
2 Ni 0.1267 0.3733 0.0000  6 Sn 2.62-2.68, 1 Ni 2.62, 2 Li 2.88
3 Ni 0.6267 0.1267 0.0000  6 Sn 2.62-2.68, 1 Ni 2.62, 2 Li 2.88
4 Ni 0.8733 0.6267 0.0000  6 Sn 2.62-2.68, 1 Ni 2.62, 2 Li 2.88
5 Sn 0.8305 0.3305 0.5000  6 Ni 2.62-2.68
6 Sn 0.1695 0.6695 0.5000  6 Ni 2.62-2.68
7 Sn 0.3305 0.1695 0.5000  6 Ni 2.62-2.68
8 Sn 0.6695 0.8305 0.5000  6 Ni 2.62-2.68
9 Li 0.5000 0.5000 0.0000  4 Ni 2.88, 2 Li 3.10, 8 Sn 3.13
10 Li 0.0000 0.0000 0.0000  4 Ni 2.88, 2 Li 3.10, 8 Sn 3.13

Properties
- M_tot: 0.00 μB/cell
- D(E_F): 5.1 states/eV/cell
- Formation enthalpy at 0 K: -0.21 eV per atom

Entry 6:
This record from the Alexandria database describes Li2NiSn after structural relaxation. The functional is GGA-PBE.

Unit cell a=7.3750 b=7.3750 c=5.7836 alpha=50.39 beta=50.39 gamma=90.00
Closest atoms and distances in Å follow each position.
Fractional positions:
1 Li 0.8750 0.8256 0.7500  2 Ni 2.45, 2 Li 2.61
2 Li 0.3750 0.4244 0.7500  2 Ni 2.45, 2 Li 2.61
3 Li 0.5756 0.1250 0.2500  2 Ni 2.45, 2 Li 2.61
4 Li 0.1744 0.6250 0.2500  2 Ni 2.45, 2 Li 2.61
5 Ni 0.2500 0.7500 0.5000  4 Li 2.45, 2 Sn 2.50
6 Ni 0.5000 0.5000 0.0000  4 Li 2.45, 2 Sn 2.50
7 Sn 0.0000 0.0000 0.0000  2 Ni 2.50
8 Sn 0.7500 0.2500 0.5000  2 Ni 2.50

Properties
- M_tot: 0.00 μB/cell
- D(E_F): 2.6 states/eV/cell
- Formation enthalpy at 0 K: -0.03 eV per atom

Entry 7:
This record from the Alexandria database describes Li2NiSn2 after structural relaxation. The functional is GGA-PBE.

Unit cell a=6.5320 b=6.5320 c=4.0395 alpha=90.00 beta=90.00 gamma=90.00
Closest atoms and distances in Å follow each position.
Fractional positions:
1 Sn 0.1743 0.6743 0.5000  6 Li 2.66-2.88
2 Sn 0.6743 0.8257 0.5000  6 Li 2.66-2.88
3 Sn 0.8257 0.3257 0.5000  6 Li 2.66-2.88
4 Sn 0.3257 0.1743 0.5000  6 Li 2.66-2.88
5 Ni 0.5000 0.5000 0.0000  4 Li 2.53
6 Ni 0.0000 0.0000 0.0000  4 Li 2.53
7 Li 0.8625 0.6375 0.0000  2 Ni 2.53, 1 Li 2.54, 2 Sn 2.66
8 Li 0.1375 0.3625 0.0000  2 Ni 2.53, 1 Li 2.54, 2 Sn 2.66
9 Li 0.6375 0.1375 0.0000  2 Ni 2.53, 1 Li 2.54, 2 Sn 2.66
10 Li 0.3625 0.8625 0.0000  2 Ni 2.53, 1 Li 2.54, 2 Sn 2.66

Properties
- M_tot: 0.00 μB/cell
- D(E_F): 4.1 states/eV/cell
- Formation enthalpy at 0 K: -0.03 eV per atom

Entry 8:
This record from the Alexandria database describes Li3Ni8Sn4 after structural relaxation. The functional is GGA-PBE.

Unit cell a=8.6145 b=8.6145 c=8.6145 alpha=60.00 beta=60.00 gamma=60.00
Closest atoms and distances in Å follow each position.
Fractional positions:
1 Ni 0.1214 0.1214 0.1214  4 Sn 2.56-2.66, 3 Ni 2.64, 3 Li 2.74
2 Ni 0.3243 0.3243 0.3243  3 Sn 2.49, 6 Ni 2.56-2.64
3 Ni 0.6757 0.6757 0.6757  3 Sn 2.49, 6 Ni 2.56-2.64
4 Ni 0.6757 0.9730 0.6757  3 Sn 2.49, 6 Ni 2.56-2.64
5 Ni 0.8786 0.8786 0.8786  4 Sn 2.56-2.66, 3 Ni 2.64, 3 Li 2.74
6 Ni 0.1214 0.6358 0.1214  4 Sn 2.56-2.66, 3 Ni 2.64, 3 Li 2.74
7 Ni 0.0270 0.3243 0.3243  3 Sn 2.49, 6 Ni 2.56-2.64
8 Ni 0.3642 0.8786 0.8786  4 Sn 2.56-2.66, 3 Ni 2.64, 3 Li 2.74
9 Ni 0.8786 0.8786 0.3642  4 Sn 2.56-2.66, 3 Ni 2.64, 3 Li 2.74
10 Ni 0.6358 0.1214 0.1214  4 Sn 2.56-2.66, 3 Ni 2.64, 3 Li 2.74
11 Ni 0.3243 0.0270 0.3243  3 Sn 2.49, 6 Ni 2.56-2.64
12 Ni 0.8786 0.3642 0.8786  4 Sn 2.56-2.66, 3 Ni 2.64, 3 Li 2.74
13 Ni 0.1214 0.1214 0.6358  4 Sn 2.56-2.66, 3 Ni 2.64, 3 Li 2.74
14 Ni 0.6757 0.6757 0.9730  3 Sn 2.49, 6 Ni 2.56-2.64
15 Ni 0.3243 0.3243 0.0270  3 Sn 2.49, 6 Ni 2.56-2.64
16 Ni 0.9730 0.6757 0.6757  3 Sn 2.49, 6 Ni 2.56-2.64
17 Sn 0.5000 0.0000 0.0000  8 Ni 2.49-2.66
18 Sn 0.0000 0.0000 0.0000  8 Ni 2.56
19 Sn 0.5000 0.0000 0.5000  8 Ni 2.49-2.66
20 Sn 0.5000 0.5000 0.0000  8 Ni 2.49-2.66
21 Sn 0.0000 0.5000 0.5000  8 Ni 2.49-2.66
22 Sn 0.0000 0.5000 0.0000  8 Ni 2.49-2.66
23 Sn 0.5000 0.5000 0.5000  6 Li 2.84
24 Sn 0.0000 0.0000 0.5000  8 Ni 2.49-2.66
25 Li 0.7329 0.7329 0.2671  4 Ni 2.74, 5 Sn 2.84-3.05
26 Li 0.2671 0.7329 0.7329  4 Ni 2.74, 5 Sn 2.84-3.05
27 Li 0.2671 0.2671 0.7329  4 Ni 2.74, 5 Sn 2.84-3.05
28 Li 0.2671 0.7329 0.2671  4 Ni 2.74, 5 Sn 2.84-3.05
29 Li 0.7329 0.2671 0.7329  4 Ni 2.74, 5 Sn 2.84-3.05
30 Li 0.7329 0.2671 0.2671  4 Ni 2.74, 5 Sn 2.84-3.05

Properties
- M_tot: 0.00 μB/cell
- D(E_F): 13.8 states/eV/cell
- Formation enthalpy at 0 K: -0.19 eV per atom

Entry 9:
This record from the Alexandria database describes Li2NiSn after structural relaxation. The functional is GGA-PBE.

Unit cell a=3.0092 b=3.0092 c=9.6500 alpha=81.03 beta=81.03 gamma=60.00
Closest atoms and distances in Å follow each position.
Fractional positions:
1 Sn 0.0000 0.0000 0.0000  2 Li 2.89, 6 Sn 3.01
2 Li 0.1014 0.1014 0.6959  3 Ni 2.55
3 Li 0.8986 0.8986 0.3041  3 Ni 2.55
4 Ni 0.5000 0.5000 0.5000  6 Li 2.55

Properties
- M_tot: 0.14 μB/cell
- D(E_F): 2.8 states/eV/cell
- Formation enthalpy at 0 K: 0.19 eV per atom

Entry 10:
This record from the Alexandria database describes Li2Ni5Sn5 after structural relaxation. The functional is GGA-PBE.

Unit cell a=4.1916 b=6.4193 c=8.5211 alpha=105.96 beta=90.00 gamma=109.06
Closest atoms and distances in Å follow each position.
Fractional positions:
1 Sn 0.3011 0.6021 0.6491  5 Ni 2.60-2.65, 1 Li 2.73
2 Sn 0.3714 0.7428 0.0272  5 Ni 2.66-2.69, 2 Li 2.74
3 Sn 0.6286 0.2572 0.9728  5 Ni 2.66-2.69, 2 Li 2.74
4 Sn 0.6989 0.3979 0.3509  5 Ni 2.60-2.65, 1 Li 2.73
5 Sn 0.5000 0.0000 0.5000  4 Ni 2.55
6 Li 0.1121 0.2241 0.7607  3 Ni 2.57-2.77, 3 Sn 2.73-2.74
7 Li 0.8879 0.7759 0.2393  3 Ni 2.57-2.77, 3 Sn 2.73-2.74
8 Ni 0.7944 0.5889 0.8264  1 Ni 2.50, 5 Sn 2.60-2.69
9 Ni 0.2056 0.4111 0.1736  1 Ni 2.50, 5 Sn 2.60-2.69
10 Ni 0.0000 0.0000 0.0000  2 Ni 2.50, 4 Sn 2.66, 2 Li 2.76
11 Ni 0.0954 0.1909 0.4293  5 Sn 2.55-2.65, 2 Li 2.57-2.77
12 Ni 0.9046 0.8091 0.5707  5 Sn 2.55-2.65, 2 Li 2.57-2.77

Properties
- M_tot: 0.00 μB/cell
- D(E_F): 6.5 states/eV/cell
- Formation enthalpy at 0 K: -0.13 eV per atom

Entry 11:
This record from the Alexandria database describes Li2NiSn after structural relaxation. The functional is GGA-PBE.

Unit cell a=4.3058 b=3.7678 c=3.7678 alpha=90.00 beta=90.00 gamma=90.00
Closest atoms and distances in Å follow each position.
Fractional positions:
1 Li 0.0000 0.0000 0.5000  4 Li 2.66, 4 Sn 2.86, 4 Ni 2.86
2 Li 0.0000 0.5000 0.0000  4 Li 2.66, 4 Sn 2.86, 4 Ni 2.86
3 Sn 0.5000 0.0000 0.0000  4 Ni 2.66, 8 Li 2.86
4 Ni 0.5000 0.5000 0.5000  4 Sn 2.66, 8 Li 2.86

Properties
- M_tot: 0.00 μB/cell
- D(E_F): 1.6 states/eV/cell
- Formation enthalpy at 0 K: -0.23 eV per atom

Entry 12:
This record from the Alexandria database describes Li9Ni4Sn11 after structural relaxation. The functional is GGA-PBE.

Unit cell a=3.3418 b=12.0819 c=12.0819 alpha=111.66 beta=90.00 gamma=90.00
Closest atoms and distances in Å follow each position.
Fractional positions:
1 Sn 0.0000 0.4138 0.0698  2 Ni 2.64, 2 Li 2.92
2 Sn 0.0000 0.5862 0.9302  2 Ni 2.64, 2 Li 2.92
3 Sn 0.0000 0.6320 0.3680  4 Ni 2.68
4 Sn 0.0000 0.9302 0.5862  2 Ni 2.64, 2 Li 2.92
5 Sn 0.0000 0.3680 0.6320  4 Ni 2.68
6 Sn 0.0000 0.0000 0.0000  8 Li 2.96, 2 Sn 3.16
7 Sn 0.0000 0.0698 0.4138  2 Ni 2.64, 2 Li 2.92
8 Sn 0.0000 0.8421 0.1579  8 Li 3.01-3.13, 5 Sn 3.16-3.34
9 Sn 0.0000 0.3093 0.3093  4 Ni 2.70
10 Sn 0.0000 0.6907 0.6907  4 Ni 2.70
11 Sn 0.0000 0.1579 0.8421  8 Li 3.01-3.13, 5 Sn 3.16-3.34
12 Li 0.5000 0.8421 0.3650  1 Ni 2.80, 1 Li 2.81, 8 Sn 3.00-3.08
13 Li 0.5000 0.3650 0.8421  1 Ni 2.80, 1 Li 2.81, 8 Sn 3.00-3.08
14 Li 0.5000 0.0758 0.2178  1 Li 2.84, 1 Ni 2.85, 8 Sn 2.92-3.13
15 Li 0.5000 0.6350 0.1579  1 Ni 2.80, 1 Li 2.81, 8 Sn 3.00-3.08
16 Li 0.5000 0.2178 0.0758  1 Li 2.84, 1 Ni 2.85, 8 Sn 2.92-3.13
17 Li 0.5000 0.9242 0.7822  1 Li 2.84, 1 Ni 2.85, 8 Sn 2.92-3.13
18 Li 0.5000 0.7822 0.9242  1 Li 2.84, 1 Ni 2.85, 8 Sn 2.92-3.13
19 Li 0.5000 0.1579 0.6350  1 Ni 2.80, 1 Li 2.81, 8 Sn 3.00-3.08
20 Li 0.5000 0.5000 0.5000  4 Ni 2.86, 8 Sn 3.08-3.12
21 Ni 0.5000 0.5464 0.7501  6 Sn 2.64-2.70, 3 Li 2.80-2.86
22 Ni 0.5000 0.2499 0.4536  6 Sn 2.64-2.70, 3 Li 2.80-2.86
23 Ni 0.5000 0.7501 0.5464  6 Sn 2.64-2.70, 3 Li 2.80-2.86
24 Ni 0.5000 0.4536 0.2499  6 Sn 2.64-2.70, 3 Li 2.80-2.86

Properties
- M_tot: 0.00 μB/cell
- D(E_F): 9.2 states/eV/cell
- Formation enthalpy at 0 K: -0.28 eV per atom